Material: Hf3Fe2Cu
Method: DFT, PBE-GGA
State: relaxed

Crystal system ... tetragonal
Formation enthalpy at 0 K ... -0.258 eV per atom
Symmetry ... No. 123

The structure in POSCAR format:
```
Hf3Fe2Cu
1.0
3.131 0.000 0.000
0.000 3.131 0.000
0.000 0.000 9.773
Hf Fe Cu
3 2 1
Direct
0.000 0.000 0.000 Hf
0.000 0.000 0.323 Hf
0.000 0.000 0.677 Hf
0.500 0.500 0.163 Fe
0.500 0.500 0.837 Fe
0.500 0.500 0.500 Cu
```

Material: HfFe3Cu
Method: DFT, PBE-GGA
State: relaxed

Crystal system ... cubic
Formation enthalpy at 0 K ... 1.639 eV per atom
Symmetry ... No. 221
Polymorph energy (0 for the lowest one) ... 779 meV per atom

The structure in POSCAR format:
```
HfFe3Cu
1.0
4.536 0.000 0.000
0.000 4.536 0.000
0.000 0.000 4.536
Hf Fe Cu
1 3 1
Direct
0.000 0.000 0.000 Hf
0.000 0.000 0.500 Fe
0.000 0.500 0.000 Fe
0.500 0.000 0.000 Fe
0.500 0.500 0.500 Cu
```

Material: Hf2FeCu2
Method: DFT, PBE-GGA
State: relaxed

Crystal system ... tetragonal
Formation enthalpy at 0 K ... 0.054 eV per atom
Symmetry ... No. 127

The structure in POSCAR format:
```
Hf2FeCu2
1.0
6.689 0.000 0.000
0.000 6.689 0.000
0.000 0.000 3.532
Hf Fe Cu
4 2 4
Direct
0.183 0.317 0.000 Hf
0.317 0.817 0.000 Hf
0.683 0.183 0.000 Hf
0.817 0.683 0.000 Hf
0.000 0.000 0.500 Fe
0.500 0.500 0.500 Fe
0.124 0.624 0.500 Cu
0.376 0.124 0.500 Cu
0.624 0.876 0.500 Cu
0.876 0.376 0.500 Cu
```

Material: Hf2FeCu
Method: DFT, PBE-GGA
State: relaxed

Crystal system ... tetragonal
Formation enthalpy at 0 K ... 0.316 eV per atom
Symmetry ... No. 122

The structure in POSCAR format:
```
Hf2FeCu
1.0
-3.505 3.505 2.796
3.505 -3.505 2.796
3.505 3.505 -2.796
Hf Fe Cu
4 2 2
Direct
0.105 0.625 0.980 Hf
0.375 0.355 0.480 Hf
0.645 0.125 0.020 Hf
0.875 0.895 0.520 Hf
0.000 0.000 0.000 Fe
0.750 0.250 0.500 Fe
0.250 0.750 0.500 Cu
0.500 0.500 0.000 Cu
```

Material: HfFe2Cu2
Method: DFT, PBE-GGA
State: relaxed

Crystal system ... tetragonal
Formation enthalpy at 0 K ... 0.097 eV per atom
Symmetry ... No. 139
Polymorph energy (0 for the lowest one) ... 0 meV per atom

The structure in POSCAR format:
```
HfFe2Cu2
1.0
-1.810 1.810 5.414
1.810 -1.810 5.414
1.810 1.810 -5.414
Hf Fe Cu
1 2 2
Direct
0.000 0.000 0.000 Hf
0.401 0.401 0.000 Fe
0.599 0.599 0.000 Fe
0.250 0.750 0.500 Cu
0.750 0.250 0.500 Cu
```

Material: Hf2FeCu
Method: DFT, PBE-GGA
State: relaxed

Crystal system ... orthorhombic
Formation enthalpy at 0 K ... 0.724 eV per atom
Symmetry ... No. 71

The structure in POSCAR format:
```
Hf2FeCu
1.0
-1.428 2.504 5.102
1.428 -2.504 5.102
1.428 2.504 -5.102
Hf Fe Cu
2 1 1
Direct
0.242 0.242 0.000 Hf
0.758 0.758 0.000 Hf
0.000 0.000 0.000 Fe
0.500 0.500 0.000 Cu
```

Material: HfFeCu3
Method: DFT, PBE-GGA
State: relaxed

Crystal system ... cubic
Formation enthalpy at 0 K ... 0.774 eV per atom
Symmetry ... No. 221
Polymorph energy (0 for the lowest one) ... 0 meV per atom

The structure in POSCAR format:
```
HfFeCu3
1.0
4.360 0.000 0.000
0.000 4.360 0.000
0.000 0.000 4.360
Hf Fe Cu
1 1 3
Direct
0.000 0.000 0.000 Hf
0.500 0.500 0.500 Fe
0.000 0.500 0.500 Cu
0.500 0.000 0.500 Cu
0.500 0.500 0.000 Cu
```

Material: HfFeCu
Method: DFT, PBE-GGA
State: relaxed

Crystal system ... trigonal
Formation enthalpy at 0 K ... 0.247 eV per atom
Symmetry ... No. 166

The structure in POSCAR format:
```
HfFeCu
1.0
1.719 0.992 9.623
-1.719 0.992 9.623
0.000 -1.985 9.623
Hf Fe Cu
2 2 2
Direct
0.086 0.086 0.086 Hf
0.914 0.914 0.914 Hf
0.180 0.180 0.180 Fe
0.820 0.820 0.820 Fe
0.357 0.357 0.357 Cu
0.643 0.643 0.643 Cu
```

Material: Hf2FeCu
Method: DFT, PBE-GGA
State: relaxed

Crystal system ... tetragonal
Formation enthalpy at 0 K ... -0.218 eV per atom
Symmetry ... No. 123

The structure in POSCAR format:
```
Hf2FeCu
1.0
3.163 0.000 0.000
0.000 3.163 0.000
0.000 0.000 6.521
Hf Fe Cu
2 1 1
Direct
0.000 0.000 0.238 Hf
0.000 0.000 0.762 Hf
0.500 0.500 0.000 Fe
0.500 0.500 0.500 Cu
```

Material: Hf4Fe3Cu
Method: DFT, PBE-GGA
State: relaxed

Crystal system ... tetragonal
Formation enthalpy at 0 K ... -0.276 eV per atom
Symmetry ... No. 123

The structure in POSCAR format:
```
Hf4Fe3Cu
1.0
3.135 0.000 0.000
0.000 3.135 0.000
0.000 0.000 12.892
Hf Fe Cu
4 3 1
Direct
0.000 0.000 0.122 Hf
0.000 0.000 0.366 Hf
0.000 0.000 0.634 Hf
0.000 0.000 0.878 Hf
0.500 0.500 0.000 Fe
0.500 0.500 0.245 Fe
0.500 0.500 0.755 Fe
0.500 0.500 0.500 Cu
```

Material: HfFeCuI2
Method: DFT, PBE-GGA
State: relaxed

Crystal system ... tetragonal
Raw formation energy ... 1125 meV/atom
Symmetry ... No. 123

The structure in POSCAR format:
```
HfFeCuI2
1.0
5.194 0.000 0.000
0.000 5.194 0.000
0.000 0.000 5.100
Hf Fe Cu I
1 1 1 2
Direct
0.000 0.000 0.000 Hf
0.500 0.500 0.000 Fe
0.000 0.000 0.500 Cu
0.000 0.500 0.500 I
0.500 0.000 0.500 I
```

Material: HfInFeCu
Method: DFT, PBE-GGA
State: relaxed

Crystal system ... cubic
Formation enthalpy at 0 K ... -0.049 eV per atom
Symmetry ... No. 216

The structure in POSCAR format:
```
HfInFeCu
1.0
0.000 3.188 3.188
3.188 0.000 3.188
3.188 3.188 0.000
Hf In Fe Cu
1 1 1 1
Direct
0.000 0.000 0.000 Hf
0.500 0.500 0.500 In
0.250 0.250 0.250 Fe
0.750 0.750 0.750 Cu
```

Material: Hf2MnFeCu
Method: DFT, PBE-GGA
State: relaxed

Crystal system ... tetragonal
Formation enthalpy at 0 K ... 1.115 eV per atom
Symmetry ... No. 123

The structure in POSCAR format:
```
Hf2MnFeCu
1.0
4.782 0.000 0.000
0.000 4.782 0.000
0.000 0.000 4.185
Hf Mn Fe Cu
2 1 1 1
Direct
0.000 0.500 0.000 Hf
0.500 0.000 0.000 Hf
0.000 0.000 0.500 Mn
0.500 0.500 0.500 Fe
0.500 0.500 0.000 Cu
```

Material: HfFeCuMo2
Method: DFT, PBE-GGA
State: relaxed

Crystal system ... tetragonal
Formation enthalpy at 0 K ... 1.160 eV per atom
Symmetry ... No. 123

The structure in POSCAR format:
```
HfFeCuMo2
1.0
4.554 0.000 0.000
0.000 4.554 0.000
0.000 0.000 4.224
Hf Fe Cu Mo
1 1 1 2
Direct
0.000 0.000 0.000 Hf
0.500 0.500 0.000 Fe
0.500 0.500 0.500 Cu
0.000 0.500 0.500 Mo
0.500 0.000 0.500 Mo
```

Material: Hf2FeCuS
Method: DFT, PBE-GGA
State: relaxed

Crystal system ... tetragonal
Raw formation energy ... 262 meV/atom
Symmetry ... No. 123

The structure in POSCAR format:
```
Hf2FeCuS
1.0
4.816 0.000 0.000
0.000 4.816 0.000
0.000 0.000 4.009
Hf Fe Cu S
2 1 1 1
Direct
0.000 0.500 0.000 Hf
0.500 0.000 0.000 Hf
0.000 0.000 0.000 Fe
0.500 0.500 0.500 Cu
0.000 0.000 0.500 S
```

Material: HfFeCuSe2
Method: DFT, PBE-GGA
State: relaxed

Crystal system ... tetragonal
Raw formation energy ... 1041 meV/atom
Symmetry ... No. 123

The structure in POSCAR format:
```
HfFeCuSe2
1.0
4.617 0.000 0.000
0.000 4.617 0.000
0.000 0.000 4.842
Hf Fe Cu Se
1 1 1 2
Direct
0.000 0.000 0.000 Hf
0.500 0.500 0.000 Fe
0.000 0.000 0.500 Cu
0.000 0.500 0.500 Se
0.500 0.000 0.500 Se
```

Material: HfFeCuSn
Method: DFT, PBE-GGA
State: relaxed

Crystal system ... cubic
Formation enthalpy at 0 K ... -0.133 eV per atom
Symmetry ... No. 216

The structure in POSCAR format:
```
HfFeCuSn
1.0
0.000 3.177 3.177
3.177 0.000 3.177
3.177 3.177 0.000
Hf Fe Cu Sn
1 1 1 1
Direct
0.000 0.000 0.000 Hf
0.750 0.750 0.750 Fe
0.250 0.250 0.250 Cu
0.500 0.500 0.500 Sn
```

Material: HfTi2FeCu
Method: DFT, PBE-GGA
State: relaxed

Crystal system ... tetragonal
Formation enthalpy at 0 K ... 0.350 eV per atom
Symmetry ... No. 123

The structure in POSCAR format:
```
HfTi2FeCu
1.0
4.324 0.000 0.000
0.000 4.324 0.000
0.000 0.000 4.635
Hf Ti Fe Cu
1 2 1 1
Direct
0.000 0.000 0.000 Hf
0.000 0.500 0.500 Ti
0.500 0.000 0.500 Ti
0.500 0.500 0.500 Fe
0.500 0.500 0.000 Cu
```

Material: TmHfFeCu
Method: DFT, PBE-GGA
State: relaxed

Crystal system ... cubic
Formation enthalpy at 0 K ... -0.106 eV per atom
Symmetry ... No. 216

The structure in POSCAR format:
```
TmHfFeCu
1.0
0.000 3.257 3.257
3.257 0.000 3.257
3.257 3.257 0.000
Tm Hf Fe Cu
1 1 1 1
Direct
0.000 0.000 0.000 Tm
0.500 0.500 0.500 Hf
0.250 0.250 0.250 Fe
0.750 0.750 0.750 Cu
```

Material: YHfFeCu
Method: DFT, PBE-GGA
State: relaxed

Crystal system ... cubic
Formation enthalpy at 0 K ... -0.037 eV per atom
Symmetry ... No. 216

The structure in POSCAR format:
```
YHfFeCu
1.0
0.000 3.297 3.297
3.297 0.000 3.297
3.297 3.297 0.000
Y Hf Fe Cu
1 1 1 1
Direct
0.000 0.000 0.000 Y
0.500 0.500 0.500 Hf
0.250 0.250 0.250 Fe
0.750 0.750 0.750 Cu
```

Material: FeCu3Hg
Method: DFT, PBE-GGA
State: relaxed

Crystal system ... cubic
Formation enthalpy at 0 K ... 1.346 eV per atom
Symmetry ... No. 221
Polymorph energy (0 for the lowest one) ... 423 meV per atom

The structure in POSCAR format:
```
FeCu3Hg
1.0
4.779 0.000 0.000
0.000 4.779 0.000
0.000 0.000 4.779
Fe Cu Hg
1 3 1
Direct
0.000 0.000 0.000 Fe
0.000 0.500 0.500 Cu
0.500 0.000 0.500 Cu
0.500 0.500 0.000 Cu
0.500 0.500 0.500 Hg
```

Material: Fe2Cu2Hg
Method: DFT, PBE-GGA
State: relaxed

Crystal system ... tetragonal
Formation enthalpy at 0 K ... 0.370 eV per atom
Symmetry ... No. 127
Polymorph energy (0 for the lowest one) ... 0 meV per atom

The structure in POSCAR format:
```
Fe2Cu2Hg
1.0
7.309 0.000 0.000
0.000 7.309 0.000
0.000 0.000 2.704
Fe Cu Hg
4 4 2
Direct
0.120 0.380 0.000 Fe
0.380 0.880 0.000 Fe
0.620 0.120 0.000 Fe
0.880 0.620 0.000 Fe
0.169 0.669 0.500 Cu
0.331 0.169 0.500 Cu
0.669 0.831 0.500 Cu
0.831 0.331 0.500 Cu
0.000 0.000 0.500 Hg
0.500 0.500 0.500 Hg
```

Material: FeCu3Hg
Method: DFT, PBE-GGA
State: relaxed

Crystal system ... cubic
Formation enthalpy at 0 K ... 0.923 eV per atom
Symmetry ... No. 221
Polymorph energy (0 for the lowest one) ... 0 meV per atom

The structure in POSCAR format:
```
FeCu3Hg
1.0
4.509 0.000 0.000
0.000 4.509 0.000
0.000 0.000 4.509
Fe Cu Hg
1 3 1
Direct
0.000 0.000 0.000 Fe
0.000 0.000 0.500 Cu
0.000 0.500 0.000 Cu
0.500 0.000 0.000 Cu
0.500 0.500 0.500 Hg
```

Material: FeCu2HgI8
Method: DFT, PBE-GGA
State: relaxed

Crystal system ... monoclinic
Raw formation energy ... -107 meV/atom
Symmetry ... No. 12

The structure in POSCAR format:
```
FeCu2HgI8
1.0
7.063 -4.037 0.000
7.063 4.037 0.000
-0.860 0.000 7.362
Fe Cu Hg I
1 2 1 8
Direct
0.000 0.000 0.000 Fe
0.328 0.328 0.923 Cu
0.672 0.672 0.077 Cu
0.500 0.500 0.500 Hg
0.145 0.145 0.791 I
0.151 0.658 0.776 I
0.329 0.329 0.273 I
0.342 0.849 0.224 I
0.658 0.151 0.776 I
0.671 0.671 0.727 I
0.849 0.342 0.224 I
0.855 0.855 0.209 I
```

Material: Fe2CuHgI8
Method: DFT, PBE-GGA
State: relaxed

Crystal system ... monoclinic
Raw formation energy ... -151 meV/atom
Symmetry ... No. 12

The structure in POSCAR format:
```
Fe2CuHgI8
1.0
6.451 -5.746 0.000
6.451 5.746 0.000
-0.209 0.000 7.401
Fe Cu Hg I
2 1 1 8
Direct
0.213 0.213 0.131 Fe
0.787 0.787 0.869 Fe
0.500 0.500 0.000 Cu
0.000 0.000 0.500 Hg
0.057 0.713 0.731 I
0.216 0.216 0.790 I
0.287 0.943 0.269 I
0.403 0.403 0.276 I
0.597 0.597 0.724 I
0.713 0.057 0.731 I
0.784 0.784 0.210 I
0.943 0.287 0.269 I
```

Material: Fe2CuHgI
Method: DFT, PBE-GGA
State: relaxed

Crystal system ... tetragonal
Raw formation energy ... 947 meV/atom
Symmetry ... No. 123

The structure in POSCAR format:
```
Fe2CuHgI
1.0
4.769 0.000 0.000
0.000 4.769 0.000
0.000 0.000 4.973
Fe Cu Hg I
2 1 1 1
Direct
0.000 0.500 0.000 Fe
0.500 0.000 0.000 Fe
0.000 0.000 0.000 Cu
0.000 0.000 0.500 Hg
0.500 0.500 0.500 I
```

Material: InFeCuHg2
Method: DFT, PBE-GGA
State: relaxed

Crystal system ... tetragonal
Formation enthalpy at 0 K ... 1.135 eV per atom
Symmetry ... No. 123

The structure in POSCAR format:
```
InFeCuHg2
1.0
5.487 0.000 0.000
0.000 5.487 0.000
0.000 0.000 5.128
In Fe Cu Hg
1 1 1 2
Direct
0.000 0.000 0.000 In
0.000 0.000 0.500 Fe
0.500 0.500 0.500 Cu
0.000 0.500 0.000 Hg
0.500 0.000 0.000 Hg
```

Ordered DFT total energy results: -8.738; -6.248; -7.258; -7.801; -6.917; -7.393; -5.367; -7.258; -8.335; -8.938; -3.997; -6.362; -7.212; -7.675; -7.057; -4.855; -6.762; -7.311; -6.852; -7.281; -2.864; -4.714; -3.288; -2.554; -2.961; -3.628; -2.045; unit eV per atom.